Entry 1:
5
Lattice="3.889 0.000 0.000 0.000 3.889 0.000 0.000 0.000 3.770" Properties=species:S:1:pos:R:3 comment="PBE-GGA V2HIrRh, optimized geometry" volume_a3_per_cell=57.0 de_polymorph_mev_per_atom=0 n_ef_per_ev_cell=3.8 pbc="T T T"
H 0.000 0.000 0.000
Ir 1.945 1.945 1.885
Rh 0.000 0.000 1.885
V 0.000 1.945 0.000
V 1.945 0.000 0.000

Entry 2:
8
Lattice="2.671 0.000 0.000 0.000 3.018 0.000 0.000 0.000 10.440" Properties=species:S:1:pos:R:3 comment="PBE-GGA Al3WC4, optimized geometry" volume_a3_per_cell=84.2 energy_ev_per_cell=-55.88 n_ef_per_ev_cell=3.2 pbc="T T T"
Al 0.000 0.000 2.559
Al 0.000 1.509 5.208
Al 0.000 0.000 7.817
W 0.000 1.509 0.053
C 1.335 1.509 1.682
C 1.335 0.000 4.326
C 1.335 1.509 6.968
C 1.335 0.000 9.668

Entry 3:
20
Lattice="9.571 0.000 -3.384 -4.786 8.289 -3.384 0.000 0.000 10.152" Properties=species:S:1:pos:R:3 comment="PBE-GGA La12Tb7In, optimized geometry" volume_a3_per_cell=805.4 energy_ev_per_cell=-82.68 n_ef_per_ev_cell=38.7 pbc="T T T"
La 1.546 6.395 3.412
La 5.839 6.395 -3.704
La 3.240 1.894 -0.028
La -1.053 1.894 7.088
La 7.405 0.035 -0.320
La 4.806 4.537 3.356
La -2.619 8.254 3.704
La -0.020 3.752 0.028
La 3.672 6.430 0.320
La 1.113 1.859 3.064
La 6.312 1.859 6.740
La -1.526 6.430 -3.356
Tb 2.393 4.144 -3.384
Tb -2.393 4.144 3.384
Tb 4.786 0.000 3.384
Tb 2.393 4.144 1.692
Tb 0.000 0.000 5.076
Tb 4.786 0.000 -1.692
Tb -2.393 4.144 -1.692
In 0.000 0.000 0.000

Entry 4:
5
Lattice="5.502 0.000 0.000 0.000 5.502 0.000 0.000 0.000 5.502" Properties=species:S:1:pos:R:3 comment="PBE-GGA CaGa3Pb, optimized geometry" volume_a3_per_cell=166.6 de_polymorph_mev_per_atom=0 n_ef_per_ev_cell=3.5 pbc="T T T"
Pb 0.000 0.000 0.000
Ca 2.751 2.751 2.751
Ga 0.000 2.751 0.000
Ga 0.000 0.000 2.751
Ga 2.751 0.000 0.000